1.
Material: SbTe3Pd6
Method: DFT, PBE
State: relaxed

As for the symmetry: No. 36. Its formation energy without anion corrections is -5.7 kcal/mol of atoms. The total energy comes out at -94.34 eV per cell. The calculation puts the size of the total moment at 0.000 μB/cell.

a = 6.1967 Å, b = 8.6408 Å, c = 8.6408 Å
α = 113.55°, β = 90.00°, γ = 90.00°
Closest atoms and distances in Å follow each position.
Atoms (fractional coordinates):
Pd (0.7463, 0.5185, 0.0763)  3 Te 2.70-2.90, 1 Sb 2.81, 2 Pd 2.95-2.96
Pd (0.7463, 0.9237, 0.4815)  3 Te 2.70-2.90, 1 Sb 2.81, 2 Pd 2.95-2.96
Pd (0.2065, 0.3264, 0.3674)  4 Te 2.61-2.76, 1 Pd 2.90
Pd (0.6548, 0.0081, 0.9919)  4 Te 2.79-2.97, 1 Sb 2.87, 3 Pd 2.97-3.11
Pd (0.7065, 0.3674, 0.3264)  4 Te 2.61-2.76, 1 Pd 2.90
Pd (0.2065, 0.6326, 0.6736)  4 Te 2.61-2.76, 1 Pd 2.90
Pd (0.1548, 0.9919, 0.0081)  4 Te 2.79-2.97, 1 Sb 2.87, 3 Pd 2.97-3.11
Pd (0.2463, 0.0763, 0.5185)  3 Te 2.70-2.90, 1 Sb 2.81, 2 Pd 2.95-2.96
Pd (0.5988, 0.2121, 0.7879)  1 Sb 2.58, 3 Te 2.62-2.67
Pd (0.0988, 0.7879, 0.2121)  1 Sb 2.58, 3 Te 2.62-2.67
Pd (0.7065, 0.6736, 0.6326)  4 Te 2.61-2.76, 1 Pd 2.90
Pd (0.2463, 0.4815, 0.9237)  3 Te 2.70-2.90, 1 Sb 2.81, 2 Pd 2.95-2.96
Te (0.9899, 0.6128, 0.3872)  7 Pd 2.62-2.90
Te (0.4139, 0.9087, 0.6954)  6 Pd 2.61-2.80
Te (0.4139, 0.3046, 0.0913)  6 Pd 2.61-2.80
Te (0.4899, 0.3872, 0.6128)  7 Pd 2.62-2.90
Te (0.9139, 0.0913, 0.3046)  6 Pd 2.61-2.80
Te (0.9139, 0.6954, 0.9087)  6 Pd 2.61-2.80
Sb (0.5086, 0.8195, 0.1805)  4 Pd 2.58-2.87
Sb (0.0086, 0.1805, 0.8195)  4 Pd 2.58-2.87

***

2.
Material: Sr2TaBiAu
Method: DFT, PBE
State: relaxed

As for the symmetry: No. 123. The total energy comes out at -18.77 eV per cell. The calculation puts the size of the total moment at 3.527 μB/cell. The formation energy from the elements comes out at 0.72 eV/atom.

a = 5.8265 Å, b = 5.5275 Å, c = 5.8265 Å
α = 90.00°, β = 90.00°, γ = 90.00°
Closest atoms and distances in Å follow each position.
Atoms (fractional coordinates):
Sr (0.5000, 0.0000, 0.0000)  2 Au 2.91
Sr (0.0000, 0.0000, 0.5000)  2 Au 2.91
Au (0.0000, 0.0000, 0.0000)  2 Bi 2.76, 4 Sr 2.91
Bi (0.0000, 0.5000, 0.0000)  2 Au 2.76
Ta (0.5000, 0.5000, 0.5000)  8 Sr 4.02, 4 Bi 4.12

***

3.
Material: Co2AgIr
Method: DFT, PBE
State: relaxed

As for the symmetry: No. 25. The total energy comes out at -24.60 eV per cell. The calculation puts the size of the total moment at 4.192 μB/cell. The formation energy from the elements comes out at 0.33 eV/atom.

a = 2.6820 Å, b = 3.6463 Å, c = 5.6565 Å
α = 90.00°, β = 90.00°, γ = 90.00°
Closest atoms and distances in Å follow each position.
Atoms (fractional coordinates):
Ag (0.5000, 0.5000, 0.7637)  2 Ag 2.68, 6 Co 2.71-2.94, 4 Ir 2.83
Ir (0.0000, 0.0000, 0.4630)  5 Co 2.45-2.58, 2 Ir 2.68
Co (0.5000, 0.5000, 0.2435)  6 Co 2.57-2.68, 4 Ir 2.58, 1 Ag 2.71
Co (0.0000, 0.0000, 0.0297)  1 Ir 2.45, 6 Co 2.57-2.68, 4 Ag 2.72

***

4.
Material: HfCdSi2
Method: DFT, PBE
State: relaxed

As for the symmetry: No. 122. Its formation energy without anion corrections is 6.4 kcal/mol of atoms. The total energy comes out at -41.20 eV per cell. The calculation puts the size of the total moment at 0.000 μB/cell.

a = 7.2504 Å, b = 7.2504 Å, c = 5.9258 Å
α = 52.28°, β = 52.28°, γ = 90.00°
Closest atoms and distances in Å follow each position.
Atoms (fractional coordinates):
Hf (0.7500, 0.2500, 0.5000)  4 Si 2.72, 2 Cd 2.97
Hf (0.0000, 0.0000, 0.0000)  4 Si 2.72, 2 Cd 2.97
Cd (0.5000, 0.5000, 0.0000)  4 Si 2.62
Cd (0.2500, 0.7500, 0.5000)  4 Si 2.62
Si (0.1356, 0.6250, 0.2500)  2 Cd 2.62, 2 Hf 2.72
Si (0.6144, 0.1250, 0.2500)  2 Cd 2.62, 2 Hf 2.72
Si (0.8750, 0.8644, 0.7500)  2 Cd 2.62, 2 Hf 2.72
Si (0.3750, 0.3856, 0.7500)  2 Cd 2.62, 2 Hf 2.72

***

5.
Material: Tb6Tl2Pt
Method: DFT, PBE
State: relaxed

As for the symmetry: No. 14. The total energy comes out at -83.93 eV per cell. The calculation puts the size of the total moment at 0.000 μB/cell. As for the offset from the most stable computed form: 9.6 kJ per mole of atoms. The formation energy from the elements comes out at -0.38 eV/atom.

a = 6.1470 Å, b = 8.6401 Å, c = 9.9946 Å
α = 90.00°, β = 88.00°, γ = 90.00°
Closest atoms and distances in Å follow each position.
Atoms (fractional coordinates):
Tl (0.5784, 0.8774, 0.7507)  9 Tb 3.17-3.51
Tl (0.9216, 0.3774, 0.7493)  9 Tb 3.17-3.51
Tl (0.0784, 0.6226, 0.2507)  9 Tb 3.17-3.51
Tl (0.4216, 0.1226, 0.2493)  9 Tb 3.17-3.51
Tb (0.3866, 0.8192, 0.0556)  1 Pt 2.89, 1 Tl 3.17
Tb (0.8938, 0.9712, 0.2335)  1 Pt 2.78
Tb (0.1134, 0.3192, 0.4444)  1 Pt 2.89, 1 Tl 3.17
Tb (0.6134, 0.1808, 0.9444)  1 Pt 2.89, 1 Tl 3.17
Tb (0.3915, 0.8239, 0.4460)  1 Pt 2.88
Tb (0.3938, 0.5288, 0.7335)  1 Pt 2.78
Tb (0.8866, 0.6808, 0.5556)  1 Pt 2.89, 1 Tl 3.17
Tb (0.6062, 0.4712, 0.2665)  1 Pt 2.78
Tb (0.1085, 0.3239, 0.0540)  1 Pt 2.88
Tb (0.8915, 0.6761, 0.9460)  1 Pt 2.88
Tb (0.6085, 0.1761, 0.5540)  1 Pt 2.88
Tb (0.1062, 0.0288, 0.7665)  1 Pt 2.78
Pt (0.0000, 0.0000, 0.5000)  6 Tb 2.78-2.89
Pt (0.5000, 0.5000, 0.0000)  6 Tb 2.78-2.89

***

6.
Material: ErGaAu
Method: DFT, PBE
State: relaxed

As for the symmetry: No. 44. The total energy comes out at -79.80 eV per cell. The calculation puts the size of the total moment at 0.000 μB/cell. The formation energy from the elements comes out at -0.81 eV/atom.

a = 4.5049 Å, b = 7.7631 Å, c = 11.4911 Å
α = 109.74°, β = 101.30°, γ = 90.00°
Closest atoms and distances in Å follow each position.
Atoms (fractional coordinates):
Er (0.8331, 0.2973, 0.6663)  6 Au 3.08-3.16, 6 Ga 3.15-3.23
Er (0.3339, 0.8597, 0.6679)  6 Au 3.01-3.22, 6 Ga 3.08-3.27
Er (0.1669, 0.6311, 0.3337)  6 Au 3.08-3.16, 6 Ga 3.15-3.23
Er (0.6661, 0.1919, 0.3321)  6 Au 3.01-3.22, 6 Ga 3.08-3.27
Er (0.5000, 0.9645, 0.0000)  6 Ga 3.03-3.06, 6 Au 3.25-3.27
Er (0.0000, 0.5280, 0.0000)  6 Ga 3.14-3.19, 6 Au 3.15-3.18
Ga (0.4085, 0.5684, 0.8171)  3 Au 2.60-2.61
Ga (0.2349, 0.0663, 0.4699)  4 Au 2.61-2.85
Ga (0.9349, 0.0923, 0.8699)  3 Au 2.62-2.66, 1 Ga 2.75
Ga (0.7651, 0.5964, 0.5301)  4 Au 2.61-2.85
Ga (0.0651, 0.2224, 0.1301)  3 Au 2.62-2.66, 1 Ga 2.75
Ga (0.5915, 0.7513, 0.1829)  3 Au 2.60-2.61
Au (0.1003, 0.9286, 0.2005)  4 Ga 2.61-2.85
Au (0.2611, 0.4230, 0.5221)  3 Ga 2.61-2.63
Au (0.8997, 0.7281, 0.7995)  4 Ga 2.61-2.85
Au (0.7389, 0.9009, 0.4779)  3 Ga 2.61-2.63
Au (0.4234, 0.2506, 0.8468)  3 Ga 2.60-2.62
Au (0.5766, 0.4037, 0.1532)  3 Ga 2.60-2.62